The following is a PBE calculation of an optimized crystal structure of LaTa2Ge2, from Alexandria. Values from VASP.

Values from the calculation:
E above lowest polymorph = 389.4 meV per atom
total magnetic moment = 0.000 μB/f.u.
ΔH_f (0 K) = -69 kJ/mol of formula units
symmetry = P4/mbm, No. 127

Cell and atoms, written as Quantum ESPRESSO input:
```
&SYSTEM
  ibrav = 0, nat = 10, ntyp = 3
/
ATOMIC_SPECIES
La 138.91 La.upf
Ta 180.95 Ta.upf
Ge 72.64 Ge.upf
ATOMIC_POSITIONS crystal
La 0.000 0.000 0.000
La 0.500 0.500 0.000
Ta 0.132 0.368 0.500
Ta 0.368 0.868 0.500
Ta 0.632 0.132 0.500
Ta 0.868 0.632 0.500
Ge 0.156 0.656 0.000
Ge 0.344 0.156 0.000
Ge 0.656 0.844 0.000
Ge 0.844 0.344 0.000
CELL_PARAMETERS angstrom
8.187 0.000 0.000
0.000 8.187 0.000
0.000 0.000 2.961
```

The following is a PBE calculation of an optimized crystal structure of La3TaGe, from Alexandria. Values from VASP.

Values from the calculation:
E above lowest polymorph = 0.0 meV per atom
total magnetic moment = 0.000 μB/f.u.
ΔH_f (0 K) = 204 kJ/mol of formula units
symmetry = Pm-3m, No. 221

Cell and atoms, written as Quantum ESPRESSO input:
```
&SYSTEM
  ibrav = 0, nat = 5, ntyp = 3
/
ATOMIC_SPECIES
La 138.91 La.upf
Ta 180.95 Ta.upf
Ge 72.64 Ge.upf
ATOMIC_POSITIONS crystal
La 0.000 0.000 0.500
La 0.000 0.500 0.000
La 0.500 0.000 0.000
Ta 0.000 0.000 0.000
Ge 0.500 0.500 0.500
CELL_PARAMETERS angstrom
5.514 0.000 0.000
0.000 5.514 0.000
0.000 0.000 5.514
```

The following is a PBE calculation of an optimized crystal structure of LaTa4Ge2, from Alexandria. Values from VASP.

Values from the calculation:
total magnetic moment = 0.000 μB/f.u.
ΔH_f (0 K) = -222 kJ/mol of formula units
symmetry = Cmmm, No. 65

Cell and atoms, written as Quantum ESPRESSO input:
```
&SYSTEM
  ibrav = 0, nat = 7, ntyp = 3
/
ATOMIC_SPECIES
La 138.91 La.upf
Ta 180.95 Ta.upf
Ge 72.64 Ge.upf
ATOMIC_POSITIONS crystal
La 0.000 0.000 0.000
Ta 0.179 0.821 0.500
Ta 0.312 0.688 0.000
Ta 0.688 0.312 0.000
Ta 0.821 0.179 0.500
Ge 0.423 0.577 0.500
Ge 0.577 0.423 0.500
CELL_PARAMETERS angstrom
2.219 -8.494 0.000
2.219 8.494 0.000
0.000 0.000 3.732
```

The following is a PBE calculation of an optimized crystal structure of La2TaGe2, from Alexandria. Values from VASP.

Values from the calculation:
total magnetic moment = 0.004 μB/f.u.
ΔH_f (0 K) = -202 kJ/mol of formula units
symmetry = P4/mbm, No. 127

Cell and atoms, written as Quantum ESPRESSO input:
```
&SYSTEM
  ibrav = 0, nat = 10, ntyp = 3
/
ATOMIC_SPECIES
La 138.91 La.upf
Ta 180.95 Ta.upf
Ge 72.64 Ge.upf
ATOMIC_POSITIONS crystal
La 0.170 0.330 0.000
La 0.330 0.830 0.000
La 0.670 0.170 0.000
La 0.830 0.670 0.000
Ta 0.000 0.000 0.500
Ta 0.500 0.500 0.500
Ge 0.141 0.641 0.500
Ge 0.359 0.141 0.500
Ge 0.641 0.859 0.500
Ge 0.859 0.359 0.500
CELL_PARAMETERS angstrom
7.325 0.000 0.000
0.000 7.325 0.000
0.000 0.000 4.572
```

no.,energy (eV/atom)
1,-7.716
2,-5.828
3,-9.125
4,-6.608